1.
# YCo3, single point on PBEsol structure, DFT SCAN
# DFT total energy ... -0.736 hartree per atom
# Formation energy ... -79 meV/atom
data_YCo3
_chemical_formula_sum 'Y2 Co6'
_space_group_name_H-M_alt 'P m m n'
_space_group_IT_number 59
_cell_length_a 3.9574
_cell_length_b 5.9135
_cell_length_c 5.2313
_cell_angle_alpha 90.00
_cell_angle_beta 90.00
_cell_angle_gamma 90.00
loop_
_space_group_symop_operation_xyz
'x,y,z'
'-x,-y,-z'
'-x+1/2,-y+1/2,z'
'x+1/2,y+1/2,-z'
'x+1/2,-y,-z'
'-x+1/2,y,z'
'-x,y+1/2,-z'
'x,-y+1/2,z'
loop_
_atom_site_label
_atom_site_type_symbol
_atom_site_fract_x
_atom_site_fract_y
_atom_site_fract_z
Y1 Y 0.2500 0.2500 0.1196
Co1 Co 0.2500 0.0528 0.6059
Co2 Co 0.2500 0.7500 0.3279

2.
# YCo3, single point on PBEsol structure, DFT SCAN
# DFT total energy ... -0.736 hartree per atom
# Formation energy ... -86 meV/atom
data_YCo3
_chemical_formula_sum 'Y3 Co9'
_space_group_name_H-M_alt 'R -3 m'
_space_group_IT_number 166
_space_group_name_Hall '-R 3 2"'
_cell_length_a 3.9457
_cell_length_b 3.9457
_cell_length_c 13.9427
_cell_angle_alpha 90.00
_cell_angle_beta 90.00
_cell_angle_gamma 120.00
loop_
_atom_site_label
_atom_site_type_symbol
_atom_site_fract_x
_atom_site_fract_y
_atom_site_fract_z
Y1 Y 0.0000 0.0000 0.0000
Co1 Co 0.0000 0.0000 0.1917
Co2 Co 0.0000 0.0000 0.5000

3.
# YCo5, single point on PBEsol structure, DFT SCAN
# DFT total energy ... -0.703 hartree per atom
# Formation energy ... -65 meV/atom
data_YCo5
_chemical_formula_sum 'Y1 Co5'
_space_group_name_H-M_alt 'P 6/m m m'
_space_group_IT_number 191
_space_group_name_Hall '-P 6 2'
_cell_length_a 4.8339
_cell_length_b 4.8339
_cell_length_c 3.8851
_cell_angle_alpha 90.00
_cell_angle_beta 90.00
_cell_angle_gamma 120.00
loop_
_atom_site_label
_atom_site_type_symbol
_atom_site_fract_x
_atom_site_fract_y
_atom_site_fract_z
Y1 Y 0.0000 0.0000 0.0000
Co1 Co 0.0000 0.5000 0.5000
Co2 Co 0.3333 0.6667 0.0000

4.
# YCo, single point on PBEsol structure, DFT SCAN
# DFT total energy ... -0.834 hartree per atom
# Formation energy ... -112 meV/atom
data_YCo
_chemical_formula_sum 'Y6 Co6'
_space_group_name_H-M_alt 'R -3 m'
_space_group_IT_number 166
_space_group_name_Hall '-R 3 2"'
_cell_length_a 3.8368
_cell_length_b 3.8368
_cell_length_c 20.2201
_cell_angle_alpha 90.00
_cell_angle_beta 90.00
_cell_angle_gamma 120.00
loop_
_atom_site_label
_atom_site_type_symbol
_atom_site_fract_x
_atom_site_fract_y
_atom_site_fract_z
Y1 Y 0.0000 0.0000 0.0880
Co1 Co 0.0000 0.0000 0.3325

5.
# YCo4, single point on PBEsol structure, DFT SCAN
# DFT total energy ... -0.715 hartree per atom
# Formation energy ... -45 meV/atom
data_YCo4
_chemical_formula_sum 'Y2 Co8'
_space_group_name_H-M_alt 'I 4/m m m'
_space_group_IT_number 139
_space_group_name_Hall '-I 4 2'
_cell_length_a 3.8394
_cell_length_b 3.8394
_cell_length_c 9.5059
_cell_angle_alpha 90.00
_cell_angle_beta 90.00
_cell_angle_gamma 90.00
loop_
_atom_site_label
_atom_site_type_symbol
_atom_site_fract_x
_atom_site_fract_y
_atom_site_fract_z
Y1 Y 0.0000 0.0000 0.0000
Co1 Co 0.0000 0.0000 0.3824
Co2 Co 0.0000 0.5000 0.2500

6.
# YCo2, single point on PBEsol structure, DFT SCAN
# DFT total energy ... -0.768 hartree per atom
# Formation energy ... -83 meV/atom
data_YCo2
_chemical_formula_sum 'Y4 Co8'
_space_group_name_H-M_alt 'I 41/a m d'
_space_group_IT_number 141
_cell_length_a 3.8848
_cell_length_b 3.8848
_cell_length_c 12.9686
_cell_angle_alpha 90.00
_cell_angle_beta 90.00
_cell_angle_gamma 90.00
loop_
_space_group_symop_operation_xyz
'x,y,z'
'-x,-y,-z'
'-y+1/4,x+3/4,z+1/4'
'y+1/4,-x+3/4,-z+1/4'
'-x+1/2,-y,z+1/2'
'x+1/2,y,-z+1/2'
'y+1/4,-x+1/4,z+3/4'
'-y+1/4,x+1/4,-z+3/4'
'x,-y,-z'
'-x,y,z'
'-y+1/4,-x+1/4,-z+3/4'
'y+1/4,x+1/4,z+3/4'
'-x+1/2,y,-z+1/2'
'x+1/2,-y,z+1/2'
'y+1/4,x+3/4,-z+1/4'
'-y+1/4,-x+3/4,z+1/4'
'x+1/2,y+1/2,z+1/2'
'-x+1/2,-y+1/2,-z+1/2'
'-y+3/4,x+1/4,z+3/4'
'y+3/4,-x+1/4,-z+3/4'
'-x,-y+1/2,z'
'x,y+1/2,-z'
'y+3/4,-x+3/4,z+1/4'
'-y+3/4,x+3/4,-z+1/4'
'x+1/2,-y+1/2,-z+1/2'
'-x+1/2,y+1/2,z+1/2'
'-y+3/4,-x+3/4,-z+1/4'
'y+3/4,x+3/4,z+1/4'
'-x,y+1/2,-z'
'x,-y+1/2,z'
'y+3/4,x+1/4,-z+3/4'
'-y+3/4,-x+1/4,z+3/4'
loop_
_atom_site_label
_atom_site_type_symbol
_atom_site_fract_x
_atom_site_fract_y
_atom_site_fract_z
Y1 Y 0.0000 0.2500 0.3750
Co1 Co 0.0000 0.2500 0.7901

7.
# YCo2, single point on PBEsol structure, DFT SCAN
# DFT total energy ... -0.767 hartree per atom
# Formation energy ... -54 meV/atom
data_YCo2
_chemical_formula_sum 'Y4 Co8'
_space_group_name_H-M_alt 'C 1 2/m 1'
_space_group_IT_number 12
_space_group_name_Hall '-C 2y'
_cell_length_a 10.0529
_cell_length_b 3.8666
_cell_length_c 5.3512
_cell_angle_alpha 90.00
_cell_angle_beta 109.85
_cell_angle_gamma 90.00
loop_
_atom_site_label
_atom_site_type_symbol
_atom_site_fract_x
_atom_site_fract_y
_atom_site_fract_z
Y1 Y 0.1101 0.0000 0.3033
Co1 Co 0.0974 0.5000 0.6969
Co2 Co 0.2117 0.0000 0.8759

8.
# YCo2, single point on PBEsol structure, DFT SCAN
# DFT total energy ... -0.765 hartree per atom
# Formation energy ... -8 meV/atom
data_YCo2
_chemical_formula_sum 'Y4 Co8'
_space_group_name_H-M_alt 'C 1 2/m 1'
_space_group_IT_number 12
_space_group_name_Hall '-C 2y'
_cell_length_a 10.4707
_cell_length_b 3.7833
_cell_length_c 5.0815
_cell_angle_alpha 90.00
_cell_angle_beta 100.87
_cell_angle_gamma 90.00
loop_
_atom_site_label
_atom_site_type_symbol
_atom_site_fract_x
_atom_site_fract_y
_atom_site_fract_z
Y1 Y 0.1146 0.0000 0.3294
Co1 Co 0.0836 0.5000 0.8785
Co2 Co 0.2034 0.0000 0.8746

9.
# YCo, single point on PBEsol structure, DFT SCAN
# DFT total energy ... -0.828 hartree per atom
# Formation energy ... 37 meV/atom
data_YCo
_chemical_formula_sum 'Y4 Co4'
_space_group_name_H-M_alt 'I m m a'
_space_group_IT_number 74
_space_group_name_Hall '-I 2b 2'
_cell_length_a 3.4498
_cell_length_b 4.0698
_cell_length_c 11.0951
_cell_angle_alpha 90.00
_cell_angle_beta 90.00
_cell_angle_gamma 90.00
loop_
_atom_site_label
_atom_site_type_symbol
_atom_site_fract_x
_atom_site_fract_y
_atom_site_fract_z
Y1 Y 0.0000 0.2500 0.1147
Co1 Co 0.0000 0.2500 0.6864

10.
# YCo5, single point on PBEsol structure, DFT SCAN
# DFT total energy ... -0.699 hartree per atom
# Formation energy ... 35 meV/atom
data_YCo5
_chemical_formula_sum 'Y1 Co5'
_space_group_name_H-M_alt 'P 6/m m m'
_space_group_IT_number 191
_space_group_name_Hall '-P 6 2'
_cell_length_a 3.8851
_cell_length_b 3.8851
_cell_length_c 6.2666
_cell_angle_alpha 90.00
_cell_angle_beta 90.00
_cell_angle_gamma 120.00
loop_
_atom_site_label
_atom_site_type_symbol
_atom_site_fract_x
_atom_site_fract_y
_atom_site_fract_z
Y1 Y 0.0000 0.0000 0.0000
Co1 Co 0.0000 0.0000 0.5000
Co2 Co 0.3333 0.6667 0.3158

11.
# YZn2Co, single point on PBEsol structure, DFT SCAN
# DFT total energy ... -0.670 hartree per atom
# Formation energy ... -178 meV/atom
data_YZn2Co
_chemical_formula_sum 'Y2 Zn4 Co2'
_space_group_name_H-M_alt 'I m m 2'
_space_group_IT_number 44
_space_group_name_Hall 'I 2 -2'
_cell_length_a 4.3340
_cell_length_b 4.6728
_cell_length_c 6.3463
_cell_angle_alpha 90.00
_cell_angle_beta 90.00
_cell_angle_gamma 90.00
loop_
_atom_site_label
_atom_site_type_symbol
_atom_site_fract_x
_atom_site_fract_y
_atom_site_fract_z
Y1 Y 0.0000 0.0000 0.0000
Zn1 Zn 0.0000 0.0000 0.5072
Zn2 Zn 0.0000 0.5000 0.7748
Co1 Co 0.0000 0.5000 0.2216

12.
# YZn2Co, single point on PBEsol structure, DFT SCAN
# DFT total energy ... -0.669 hartree per atom
# Formation energy ... -153 meV/atom
data_YZn2Co
_chemical_formula_sum 'Y3 Zn6 Co3'
_space_group_name_H-M_alt 'R -3 m'
_space_group_IT_number 166
_space_group_name_Hall '-R 3 2"'
_cell_length_a 4.0496
_cell_length_b 4.0496
_cell_length_c 14.4951
_cell_angle_alpha 90.00
_cell_angle_beta 90.00
_cell_angle_gamma 120.00
loop_
_atom_site_label
_atom_site_type_symbol
_atom_site_fract_x
_atom_site_fract_y
_atom_site_fract_z
Y1 Y 0.0000 0.0000 0.0000
Zn1 Zn 0.0000 0.0000 0.2073
Co1 Co 0.0000 0.0000 0.5000

Among the records above, which one has the highest formation energy? number 9

Repeat the third record exactly.
# YCo5, single point on PBEsol structure, DFT SCAN
# DFT total energy ... -0.703 hartree per atom
# Formation energy ... -65 meV/atom
data_YCo5
_chemical_formula_sum 'Y1 Co5'
_space_group_name_H-M_alt 'P 6/m m m'
_space_group_IT_number 191
_space_group_name_Hall '-P 6 2'
_cell_length_a 4.8339
_cell_length_b 4.8339
_cell_length_c 3.8851
_cell_angle_alpha 90.00
_cell_angle_beta 90.00
_cell_angle_gamma 120.00
loop_
_atom_site_label
_atom_site_type_symbol
_atom_site_fract_x
_atom_site_fract_y
_atom_site_fract_z
Y1 Y 0.0000 0.0000 0.0000
Co1 Co 0.0000 0.5000 0.5000
Co2 Co 0.3333 0.6667 0.0000

Among the records above, which one has the lowest DFT total energy? number 4

Which value of formation energy does entry 10 give? 35 meV/atom